Crystalline CaInHg2 at its relaxed geometry. Source: Alexandria, functional PBE.

Cell and atoms, written as POSCAR:
```
CaInHg2
1.0
3.345 -5.290 0.000
3.345 5.290 0.000
-1.720 0.000 3.089
Ca In Hg
1 1 2
direct
0.000 0.000 0.000
0.500 0.500 0.000
0.000 0.500 0.500
0.500 0.000 0.500
```

Space-group type: C2/m (12)
E (eV for the cell shown): -6.27
Volume (A^3/atom): 27.34



Crystalline CaIn2Hg at its relaxed geometry. Source: Alexandria, functional PBE.

Cell and atoms, written as POSCAR:
```
CaIn2Hg
1.0
0.000 3.741 3.741
3.741 0.000 3.741
3.741 3.741 0.000
Ca In Hg
1 2 1
direct
0.000 0.000 0.000
0.250 0.250 0.250
0.500 0.500 0.500
0.750 0.750 0.750
```

Space-group type: F-43m (216)
E (eV for the cell shown): -9.03
Volume (A^3/atom): 26.19



Crystalline CaIn2Hg at its relaxed geometry. Source: Alexandria, functional PBE.

Cell and atoms, written as POSCAR:
```
CaIn2Hg
1.0
5.131 0.000 0.000
0.000 5.131 0.000
0.000 0.000 7.999
Ca In Hg
2 4 2
direct
0.250 0.250 0.228
0.750 0.750 0.772
0.250 0.250 0.746
0.250 0.750 0.500
0.750 0.250 0.500
0.750 0.750 0.254
0.250 0.750 0.000
0.750 0.250 0.000
```

Space-group type: P4/nmm (129)
E (eV for the cell shown): -18.15
Volume (A^3/atom): 26.32



Crystalline Ca3InHg2 at its relaxed geometry. Source: Alexandria, functional PBE.

Cell and atoms, written as POSCAR:
```
Ca3InHg2
1.0
2.663 -7.975 0.000
2.663 7.975 0.000
0.000 0.000 3.915
Ca In Hg
3 1 2
direct
0.000 0.000 0.000
0.330 0.670 0.000
0.670 0.330 0.000
0.500 0.500 0.500
0.161 0.839 0.500
0.839 0.161 0.500
```

Space-group type: Cmmm (65)
E (eV for the cell shown): -12.55
Volume (A^3/atom): 27.71
Relative energy among the computed polymorphs (meV per atom): 0



Crystalline Ca2InHg at its relaxed geometry. Source: Alexandria, functional PBE.

Cell and atoms, written as POSCAR:
```
Ca2InHg
1.0
-4.248 4.248 3.576
4.248 -4.248 3.576
4.248 4.248 -3.576
Ca In Hg
4 2 2
direct
0.111 0.125 0.486
0.375 0.889 0.014
0.639 0.625 0.514
0.875 0.361 0.986
0.250 0.750 0.500
0.500 0.500 0.000
0.000 0.000 0.000
0.750 0.250 0.500
```

Space-group type: I-42d (122)
E (eV for the cell shown): -15.74
Volume (A^3/atom): 32.27



Crystalline Ca2In2Hg at its relaxed geometry. Source: Alexandria, functional PBE.

Cell and atoms, written as POSCAR:
```
Ca2In2Hg
1.0
3.647 0.000 0.000
0.000 2.432 7.755
0.000 -2.432 7.755
Ca In Hg
2 2 1
direct
0.000 0.000 0.000
0.000 0.232 0.232
0.500 0.616 0.616
0.500 0.816 0.816
0.500 0.419 0.419
```

Space-group type: Amm2 (38)
E (eV for the cell shown): -11.90
Volume (A^3/atom): 27.52
Relative energy among the computed polymorphs (meV per atom): 3



Crystalline Ca3In2Hg9 at its relaxed geometry. Source: Alexandria, functional PBE.

Cell and atoms, written as POSCAR:
```
Ca3In2Hg9
1.0
-2.571 5.016 7.171
2.571 -5.016 7.171
2.571 5.016 -7.171
Ca In Hg
3 2 9
direct
0.000 0.000 0.000
0.281 0.281 0.000
0.719 0.719 0.000
0.338 0.500 0.838
0.662 0.500 0.162
0.010 0.650 0.360
0.137 0.854 0.283
0.290 0.650 0.640
0.429 0.146 0.283
0.500 0.000 0.500
0.571 0.854 0.717
0.710 0.350 0.360
0.863 0.146 0.717
0.990 0.350 0.640
```

Space-group type: Immm (71)
E (eV for the cell shown): -17.85
Volume (A^3/atom): 26.43



Crystalline CaIn2Hg6 at its relaxed geometry. Source: Alexandria, functional PBE.

Cell and atoms, written as POSCAR:
```
CaIn2Hg6
1.0
5.945 -6.697 0.000
5.945 6.697 0.000
-1.768 0.000 6.008
Ca In Hg
2 4 12
direct
0.110 0.890 0.750
0.890 0.110 0.250
0.326 0.359 0.624
0.359 0.326 0.124
0.641 0.674 0.876
0.674 0.641 0.376
0.031 0.236 0.796
0.055 0.454 0.278
0.236 0.031 0.296
0.292 0.650 0.993
0.350 0.708 0.507
0.454 0.055 0.778
0.546 0.945 0.222
0.650 0.292 0.493
0.708 0.350 0.007
0.764 0.969 0.704
0.945 0.546 0.722
0.969 0.764 0.204
```

Space-group type: C2/c (15)
E (eV for the cell shown): -21.12
Volume (A^3/atom): 26.58
Relative energy among the computed polymorphs (meV per atom): 0



Crystalline Ca4In5Hg6 at its relaxed geometry. Source: Alexandria, functional PBE.

Cell and atoms, written as POSCAR:
```
Ca4In5Hg6
1.0
2.161 -11.825 0.000
2.161 11.825 0.000
0.000 0.000 15.948
Ca In Hg
8 10 12
direct
0.029 0.971 0.500
0.057 0.943 0.775
0.130 0.870 0.270
0.185 0.815 0.937
0.815 0.185 0.437
0.870 0.130 0.770
0.943 0.057 0.275
0.971 0.029 0.000
0.180 0.820 0.615
0.316 0.684 0.602
0.327 0.673 0.278
0.361 0.639 0.950
0.468 0.532 0.660
0.532 0.468 0.160
0.639 0.361 0.450
0.673 0.327 0.778
0.684 0.316 0.102
0.820 0.180 0.115
0.095 0.905 0.075
0.221 0.779 0.431
0.266 0.734 0.771
0.408 0.592 0.126
0.422 0.578 0.431
0.463 0.537 0.845
0.537 0.463 0.345
0.578 0.422 0.931
0.592 0.408 0.626
0.734 0.266 0.271
0.779 0.221 0.931
0.905 0.095 0.575
```

Space-group type: Cmc2_1 (36)
E (eV for the cell shown): -56.81
Volume (A^3/atom): 27.16



Crystalline Ca2In2Hg3 at its relaxed geometry. Source: Alexandria, functional PBE.

Cell and atoms, written as POSCAR:
```
Ca2In2Hg3
1.0
5.547 -2.446 0.000
5.547 2.446 0.000
-1.111 0.000 7.039
Ca In Hg
2 2 3
direct
0.116 0.116 0.275
0.884 0.884 0.725
0.384 0.384 0.074
0.616 0.616 0.926
0.190 0.190 0.725
0.500 0.500 0.500
0.810 0.810 0.275
```

Space-group type: C2/m (12)
E (eV for the cell shown): -12.75
Volume (A^3/atom): 27.28
Relative energy among the computed polymorphs (meV per atom): 0



Crystalline CaInHg2 at its relaxed geometry. Source: Alexandria, functional PBE.

Cell and atoms, written as POSCAR:
```
CaInHg2
1.0
5.667 -2.145 0.000
5.667 2.145 0.000
-2.006 0.000 4.333
Ca In Hg
1 1 2
direct
0.000 0.000 0.000
0.241 0.241 0.740
0.497 0.497 0.497
0.755 0.755 0.254
```

Space-group type: Cm (8)
E (eV for the cell shown): -6.62
Volume (A^3/atom): 26.34



Crystalline Ca2InHg9 at its relaxed geometry. Source: Alexandria, functional PBE.

Cell and atoms, written as POSCAR:
```
Ca2InHg9
1.0
4.775 0.000 0.000
0.000 4.775 0.000
0.000 0.000 13.616
Ca In Hg
2 1 9
direct
0.000 0.000 0.173
0.000 0.000 0.827
0.000 0.000 0.500
0.000 0.500 0.000
0.000 0.500 0.337
0.000 0.500 0.663
0.500 0.000 0.000
0.500 0.000 0.337
0.500 0.000 0.663
0.500 0.500 0.168
0.500 0.500 0.500
0.500 0.500 0.832
```

Space-group type: P4/mmm (123)
E (eV for the cell shown): -12.56
Volume (A^3/atom): 25.87



Crystalline CaIn3Hg4 at its relaxed geometry. Source: Alexandria, functional PBE.

Cell and atoms, written as POSCAR:
```
CaIn3Hg4
1.0
3.552 -3.563 0.000
3.552 3.563 0.000
-3.407 0.000 8.165
Ca In Hg
1 3 4
direct
0.000 0.000 0.000
0.245 0.245 0.493
0.500 0.500 0.000
0.755 0.755 0.507
0.125 0.624 0.252
0.376 0.875 0.748
0.624 0.125 0.252
0.875 0.376 0.748
```

Space-group type: C2/m (12)
E (eV for the cell shown): -12.92
Volume (A^3/atom): 25.84



Crystalline Ca2In2Hg at its relaxed geometry. Source: Alexandria, functional PBE.

Cell and atoms, written as POSCAR:
```
Ca2In2Hg
1.0
5.807 -2.396 0.000
5.807 2.396 0.000
-4.928 0.000 10.311
Ca In Hg
4 4 2
direct
0.012 0.012 0.332
0.182 0.182 0.106
0.818 0.818 0.894
0.988 0.988 0.668
0.359 0.359 0.437
0.466 0.466 0.112
0.534 0.534 0.888
0.641 0.641 0.563
0.283 0.283 0.670
0.717 0.717 0.330
```

Space-group type: C2/m (12)
E (eV for the cell shown): -23.82
Volume (A^3/atom): 28.69
Relative energy among the computed polymorphs (meV per atom): 0



Crystalline Ca3In2Hg2 at its relaxed geometry. Source: Alexandria, functional PBE.

Cell and atoms, written as POSCAR:
```
Ca3In2Hg2
1.0
2.319 -11.582 0.000
2.319 11.582 0.000
0.000 0.000 3.605
Ca In Hg
3 2 2
direct
0.000 0.000 0.000
0.157 0.843 0.000
0.843 0.157 0.000
0.423 0.577 0.500
0.577 0.423 0.500
0.287 0.713 0.500
0.713 0.287 0.500
```

Space-group type: Cmmm (65)
E (eV for the cell shown): -15.16
Volume (A^3/atom): 27.67



Crystalline Ca3In2Hg6 at its relaxed geometry. Source: Alexandria, functional PBE.

Cell and atoms, written as POSCAR:
```
Ca3In2Hg6
1.0
-2.135 2.135 17.243
2.135 -2.135 17.243
2.135 2.135 -17.243
Ca In Hg
3 2 6
direct
0.000 0.000 0.000
0.181 0.181 0.000
0.819 0.819 0.000
0.363 0.363 0.000
0.637 0.637 0.000
0.070 0.570 0.500
0.273 0.273 0.000
0.430 0.930 0.500
0.570 0.070 0.500
0.727 0.727 0.000
0.930 0.430 0.500
```

Space-group type: I4/mmm (139)
E (eV for the cell shown): -16.12
Volume (A^3/atom): 28.57



Crystalline CaInHg5 at its relaxed geometry. Source: Alexandria, functional PBE.

Cell and atoms, written as POSCAR:
```
CaInHg5
1.0
-2.851 4.368 6.096
2.851 -4.368 6.096
2.851 4.368 -6.096
Ca In Hg
1 1 5
direct
0.000 0.000 0.000
0.500 0.500 0.000
0.170 0.500 0.670
0.255 0.255 0.000
0.500 0.000 0.500
0.745 0.745 0.000
0.830 0.500 0.330
```

Space-group type: Immm (71)
E (eV for the cell shown): -5.84
Volume (A^3/atom): 43.38
Relative energy among the computed polymorphs (meV per atom): 272



Crystalline Ca2In2Hg at its relaxed geometry. Source: Alexandria, functional PBE.

Cell and atoms, written as POSCAR:
```
Ca2In2Hg
1.0
7.696 0.000 0.000
0.000 7.696 0.000
0.000 0.000 4.890
Ca In Hg
4 4 2
direct
0.168 0.332 0.000
0.332 0.832 0.000
0.668 0.168 0.000
0.832 0.668 0.000
0.135 0.635 0.500
0.365 0.135 0.500
0.635 0.865 0.500
0.865 0.365 0.500
0.000 0.000 0.500
0.500 0.500 0.500
```

Space-group type: P4/mbm (127)
E (eV for the cell shown): -23.17
Volume (A^3/atom): 28.96
Relative energy among the computed polymorphs (meV per atom): 66



Crystalline Ca2InHg4 at its relaxed geometry. Source: Alexandria, functional PBE.

Cell and atoms, written as POSCAR:
```
Ca2InHg4
1.0
2.596 1.499 8.326
-2.596 1.499 8.326
0.000 -2.998 8.326
Ca In Hg
2 1 4
direct
0.244 0.244 0.244
0.756 0.756 0.756
0.500 0.500 0.500
0.115 0.115 0.115
0.370 0.370 0.370
0.630 0.630 0.630
0.885 0.885 0.885
```

Space-group type: R-3m (166)
E (eV for the cell shown): -10.32
Volume (A^3/atom): 27.77
Relative energy among the computed polymorphs (meV per atom): 0



Crystalline Ca3In4Hg4 at its relaxed geometry. Source: Alexandria, functional PBE.

Cell and atoms, written as POSCAR:
```
Ca3In4Hg4
1.0
15.615 -2.509 0.000
15.615 2.509 0.000
-0.445 0.000 3.714
Ca In Hg
3 4 4
direct
0.000 0.000 0.000
0.360 0.360 0.861
0.640 0.640 0.139
0.091 0.091 0.589
0.264 0.264 0.264
0.736 0.736 0.736
0.909 0.909 0.411
0.183 0.183 0.684
0.453 0.453 0.455
0.547 0.547 0.545
0.817 0.817 0.316
```

Space-group type: C2/m (12)
E (eV for the cell shown): -22.07
Volume (A^3/atom): 26.46
Relative energy among the computed polymorphs (meV per atom): 0